Here is an optimized crystal structure of PrScAsO from OQMD via LeMat-Bulk. Energies are from GGA-PBE.

Its crystal system is orthorhombic. As for the volume: 22.7 A^3/atom. Its total energy is -7.20 eV per atom.

The structure belongs to space group Pmc2_1 (No. 26); the cell edges are 4.859, 6.207 and 6.021 Å and the angles 90.00°, 90.00° and 90.00°. The distinct sites, in fractional coordinates, are Pr at (0.000, 0.245, 0.000), Sc at (0.500, 0.362, 0.600), As at (0.000, 0.237, 0.496) and O at (0.500, 0.351, 0.936).